The following is a DFT calculation (PBE) of crystalline Ce6IrRu2Br3 at its relaxed geometry.

Cell: 7.0236 12.1651 8.0327 Å, 90.00 106.94 90.00°
Space group C2/m (No. 12)
Asymmetric unit:
Ce: 0.2283 0.0000 0.1966 (multiplicity 4)
Ce: 0.2342 0.3314 0.1966 (multiplicity 8)
Ir: 0.0000 0.5000 0.0000 (multiplicity 2)
Ru: 0.0000 0.1666 0.0000 (multiplicity 4)
Br: 0.0000 0.0000 0.5000 (multiplicity 2)
Br: 0.0000 0.3331 0.5000 (multiplicity 4)

Output
Crystal system = monoclinic

---

The following is a DFT calculation (PBE) of crystalline Ce8Ir3RuBr4 at its relaxed geometry.

Cell: 14.2027 8.2000 8.9984 Å, 90.00 121.74 90.00°
Space group C2/m (No. 12)
Asymmetric unit:
Ce: 0.0162 0.2481 0.3017 (multiplicity 8)
Ce: 0.2298 0.0000 0.6962 (multiplicity 4)
Ce: 0.2316 0.5000 0.6957 (multiplicity 4)
Ir: 0.0000 0.5000 0.5000 (multiplicity 2)
Ir: 0.2500 0.2500 0.5000 (multiplicity 4)
Ru: 0.0000 0.0000 0.5000 (multiplicity 2)
Br: 0.0000 0.0000 0.0000 (multiplicity 2)
Br: 0.0000 0.5000 0.0000 (multiplicity 2)
Br: 0.2500 0.2500 0.0000 (multiplicity 4)

Output
Crystal system = monoclinic

---

The following is a DFT calculation (PBE) of crystalline Ce8IrRu3Br4 at its relaxed geometry.

Cell: 8.0970 8.0970 23.0686 Å, 90.00 90.00 120.00°
Space group R-3m (No. 166, hexagonal axes)
Asymmetric unit:
Ce: 0.0000 0.0000 0.2324 (multiplicity 6)
Ce: 0.0037 0.5019 0.7679 (multiplicity 18)
Ir: 0.0000 0.0000 0.5000 (multiplicity 3)
Ru: 0.0000 0.5000 0.5000 (multiplicity 9)
Br: 0.0000 0.0000 0.0000 (multiplicity 3)
Br: 0.0000 0.5000 0.0000 (multiplicity 9)

Output
Crystal system = trigonal

---

The following is a DFT calculation (PBE) of crystalline Ce4IrS2Br at its relaxed geometry.

Cell: 7.1714 3.9970 7.2194 Å, 90.00 108.80 90.00°
Space group P2/m (No. 10)
Asymmetric unit:
Ce: 0.2312 0.0000 0.2323 (multiplicity 2)
Ce: 0.2521 0.5000 0.7683 (multiplicity 2)
Ir: 0.5000 0.0000 0.0000 (multiplicity 1)
S: 0.0000 0.0000 0.5000 (multiplicity 1)
S: 0.0000 0.5000 0.0000 (multiplicity 1)
Br: 0.5000 0.5000 0.5000 (multiplicity 1)

Output
Crystal system = monoclinic

---

The following is a DFT calculation (PBE) of crystalline Ce8Ir3SBr4 at its relaxed geometry.

Cell: 8.2204 8.2204 22.5066 Å, 90.00 90.00 120.00°
Space group R-3m (No. 166, hexagonal axes)
Asymmetric unit:
Ce: 0.0000 0.0000 0.2321 (multiplicity 6)
Ce: 0.0010 0.5005 0.7650 (multiplicity 18)
Ir: 0.0000 0.5000 0.5000 (multiplicity 9)
S: 0.0000 0.0000 0.5000 (multiplicity 3)
Br: 0.0000 0.0000 0.0000 (multiplicity 3)
Br: 0.0000 0.5000 0.0000 (multiplicity 9)

Output
Crystal system = trigonal

---

The following is a DFT calculation (PBE) of crystalline Ce4IrSeBr2 at its relaxed geometry.

Cell: 7.4809 4.0700 7.4838 Å, 90.00 107.95 90.00°
Space group P2/m (No. 10)
Asymmetric unit:
Ce: 0.2203 0.0000 0.2114 (multiplicity 2)
Ce: 0.2496 0.5000 0.7707 (multiplicity 2)
Ir: 0.0000 0.5000 0.0000 (multiplicity 1)
Se: 0.5000 0.0000 0.0000 (multiplicity 1)
Br: 0.0000 0.0000 0.5000 (multiplicity 1)
Br: 0.5000 0.5000 0.5000 (multiplicity 1)

Output
Crystal system = monoclinic

---

no.,ΔE_f (raw) (eV/atom),DOS(E_F) (states/eV per cell)
1,-0.8928,64.67
2,-1.0376,92.88
3,-0.8715,127.90
4,-1.4543,21.15
5,-1.1604,132.70
6,-1.2327,23.45